Version A
ZrSi2Cl after structural relaxation, computed with PBE.

Output
**Density of states at the Fermi level**: 1.6 states/eV/cell
**Symmetry**: Imm2 (44)

Lattice parameters (Å, degrees): 5.036 5.036 5.036 137.80 118.47 77.44
Sites, in units of the cell vectors:
Cl (0.249, 0.749, 0.500)
Si (0.963, 0.963, 0.000)
Si (0.785, 0.285, 0.500)
Zr (0.502, 0.502, 0.000)

=====

Version B
ZrSi2Cl after structural relaxation, computed with PBE.

Output
**Density of states at the Fermi level**: 2.0 states/eV/cell
**Symmetry**: Pmm2 (25)

Lattice parameters (Å, degrees): 3.273 3.126 8.173 90.00 90.00 90.00
Sites, in units of the cell vectors:
Si (0.500, 0.500, 0.250)
Cl (0.500, 0.500, 0.671)
Zr (0.000, 0.000, 0.469)
Si (0.000, 0.000, 0.110)

=====

Version C
ZrSi2Cl after structural relaxation, computed with PBE.

Output
**Density of states at the Fermi level**: 2.9 states/eV/cell
**Symmetry**: I-4m2 (119)

Lattice parameters (Å, degrees): 5.183 5.183 5.183 133.61 133.61 67.69
Sites, in units of the cell vectors:
Si (0.000, 0.000, 0.000)
Si (0.250, 0.750, 0.500)
Zr (0.500, 0.500, 0.000)
Cl (0.750, 0.250, 0.500)

=====

We find version B to be the most stable, with the next structure 197 meV per atom higher.

=====

Version A
ZrSi2Cl after structural relaxation, computed with PBE.

Output
**Density of states at the Fermi level**: 6.6 states/eV/cell
**Symmetry**: I-42d (122)

Lattice parameters (Å, degrees): 8.726 8.726 6.622 48.78 48.78 90.00
Sites, in units of the cell vectors:
Si (0.375, 0.313, 0.750)
Zr (0.000, 0.000, 0.000)
Zr (0.750, 0.250, 0.500)
Si (0.687, 0.125, 0.250)
Cl (0.500, 0.500, 0.000)
Si (0.063, 0.625, 0.250)
Cl (0.250, 0.750, 0.500)
Si (0.875, 0.937, 0.750)

=====

Version B
ZrSi2Cl after structural relaxation, computed with PBE.

Output
**Density of states at the Fermi level**: 1.2 states/eV/cell
**Symmetry**: Cmmm (65)

Lattice parameters (Å, degrees): 6.331 5.053 3.024 89.96 61.54 118.94
Sites, in units of the cell vectors:
Si (0.000, 0.000, 0.000)
Cl (0.500, 0.500, 0.000)
Si (0.500, 0.000, 0.500)
Zr (0.000, 0.500, 0.500)

=====

We find version B to be the most stable, with the next structure 112 meV per atom higher.

=====

Version A
ZrSi2Cl after structural relaxation, computed with PBE.

Output
**Density of states at the Fermi level**: 1.1 states/eV/cell
**Symmetry**: Cm (8)

Lattice parameters (Å, degrees): 4.744 4.744 6.260 55.78 55.78 44.50
Sites, in units of the cell vectors:
Cl (0.197, 0.197, 0.328)
Zr (0.451, 0.451, 0.400)
Si (0.068, 0.068, 0.938)
Si (0.784, 0.784, 0.834)

=====

Version B
ZrSi2Cl after structural relaxation, computed with PBE.

Output
**Density of states at the Fermi level**: 2.1 states/eV/cell
**Symmetry**: P4/mmm (123)

Lattice parameters (Å, degrees): 5.059 5.059 2.955 90.00 90.00 90.00
Sites, in units of the cell vectors:
Cl (0.000, 0.500, 0.500)
Si (0.500, 0.500, 0.000)
Si (0.000, 0.000, 0.000)
Zr (0.500, 0.000, 0.500)

=====

Version C
ZrSi2Cl after structural relaxation, computed with PBE.

Output
**Density of states at the Fermi level**: 2.2 states/eV/cell
**Symmetry**: Pmmm (47)

Lattice parameters (Å, degrees): 4.643 3.028 5.933 59.31 90.00 90.00
Sites, in units of the cell vectors:
Zr (0.500, 0.250, 0.250)
Si (0.000, 0.987, 0.013)
Si (0.000, 0.513, 0.487)
Cl (0.500, 0.750, 0.750)

=====

We find version A to be the most stable, with the next structure 190 meV per atom higher.

=====

Version A
ZrSi2Cl after structural relaxation, computed with PBE.

Output
**Density of states at the Fermi level**: 1.6 states/eV/cell
**Symmetry**: I4/mmm (139)

Lattice parameters (Å, degrees): 5.659 5.659 5.659 141.69 141.69 55.29
Sites, in units of the cell vectors:
Cl (0.750, 0.250, 0.500)
Si (0.000, 0.000, 0.000)
Zr (0.250, 0.750, 0.500)
Si (0.500, 0.500, 0.000)

=====

Version B
ZrSi2Cl after structural relaxation, computed with PBE.

Output
**Density of states at the Fermi level**: 4.1 states/eV/cell
**Symmetry**: F-43m (216)

Lattice parameters (Å, degrees): 4.689 4.689 4.689 60.00 60.00 60.00
Last column: magnetic moment on the atom in μB.
Sites, in units of the cell vectors:
Cl (0.500, 0.500, 0.500)  0.01
Si (0.250, 0.250, 0.250)  0.02
Si (0.000, 0.000, 0.000)  0.05
Zr (0.750, 0.750, 0.750)  0.51

=====

Version C
ZrSi2Cl after structural relaxation, computed with PBE.

Output
**Density of states at the Fermi level**: 4.8 states/eV/cell
**Symmetry**: Fm-3m (225)

Lattice parameters (Å, degrees): 4.750 4.750 4.750 60.00 60.00 60.00
Sites, in units of the cell vectors:
Zr (0.500, 0.500, 0.500)
Si (0.750, 0.750, 0.750)
Si (0.250, 0.250, 0.250)
Cl (0.000, 0.000, 0.000)

=====

We find version A to be the most stable, with the next structure 338 meV per atom higher.

=====

Version A
ZrSi2Cl after structural relaxation, computed with PBE.

Output
**Density of states at the Fermi level**: 2.9 states/eV/cell
**Symmetry**: P4/mmm (123)

Lattice parameters (Å, degrees): 3.769 3.769 5.171 90.00 90.00 90.00
Sites, in units of the cell vectors:
Si (0.000, 0.000, 0.482)
Cl (0.500, 0.500, 0.750)
Si (0.000, 0.000, 0.018)
Zr (0.500, 0.500, 0.250)

=====

Version B
ZrSi2Cl after structural relaxation, computed with PBE.

Output
**Density of states at the Fermi level**: 2.8 states/eV/cell
**Symmetry**: R-3m (166)

Lattice parameters (Å, degrees): 8.486 8.486 8.486 21.77 21.77 21.77
Sites, in units of the cell vectors:
Zr (0.250, 0.250, 0.250)
Cl (0.750, 0.750, 0.750)
Si (0.999, 0.999, 0.999)
Si (0.501, 0.501, 0.501)

=====

We find version A to be the most stable, with the next structure 328 meV per atom higher.

=====

Version A
Zr2SiCl after structural relaxation, computed with PBE.

Output
**Density of states at the Fermi level**: 2.2 states/eV/cell
**Symmetry**: C2/m (12)

Lattice parameters (Å, degrees): 7.515 4.815 3.157 90.13 64.98 129.92
Sites, in units of the cell vectors:
Zr (0.000, 0.000, 0.000)
Zr (0.500, 0.000, 0.500)
Si (0.500, 0.500, 0.000)
Cl (0.000, 0.500, 0.500)

=====

Version B
Zr2SiCl after structural relaxation, computed with PBE.

Output
**Density of states at the Fermi level**: 3.0 states/eV/cell
**Symmetry**: R3m (160)

Lattice parameters (Å, degrees): 10.204 10.204 10.204 18.76 18.76 18.76
Sites, in units of the cell vectors:
Cl (0.523, 0.523, 0.523)
Si (0.731, 0.731, 0.731)
Zr (0.249, 0.249, 0.249)
Zr (0.997, 0.997, 0.997)

=====

We find version A to be the most stable, with the next structure 152 meV per atom higher.

=====

Version A
ZrSi3Cl after structural relaxation, computed with PBE.

Output
**Density of states at the Fermi level**: 10.3 states/eV/cell
**Symmetry**: Pm-3m (221)

Lattice parameters (Å, degrees): 5.189 5.189 5.189 90.00 90.00 90.00
Sites, in units of the cell vectors:
Si (0.000, 0.000, 0.500)
Cl (0.500, 0.500, 0.500)
Zr (0.000, 0.000, 0.000)
Si (0.000, 0.500, 0.000)
Si (0.500, 0.000, 0.000)

=====

Version B
ZrSi3Cl after structural relaxation, computed with PBE.

Output
**Density of states at the Fermi level**: 2.6 states/eV/cell
**Symmetry**: Pm-3m (221)

Lattice parameters (Å, degrees): 4.589 4.589 4.589 90.00 90.00 90.00
Sites, in units of the cell vectors:
Si (0.000, 0.500, 0.000)
Si (0.500, 0.000, 0.000)
Zr (0.500, 0.500, 0.500)
Cl (0.000, 0.000, 0.000)
Si (0.000, 0.000, 0.500)

=====

We find version B to be the most stable, with the next structure 24 meV per atom higher.

=====

Version A
Sm2TeCl after structural relaxation, computed with PBE.

Output
**Density of states at the Fermi level**: 3.1 states/eV/cell
**Symmetry**: R-3m (166)

Lattice parameters (Å, degrees): 4.301 4.301 7.204 72.63 72.63 60.00
Sites, in units of the cell vectors:
Cl (0.000, 0.000, 0.000)
Sm (0.263, 0.263, 0.210)
Te (0.500, 0.500, 0.500)
Sm (0.737, 0.737, 0.790)

=====

Version B
Sm2TeCl after structural relaxation, computed with PBE.

Output
**Density of states at the Fermi level**: 4.0 states/eV/cell
**Symmetry**: R3m (160)

Lattice parameters (Å, degrees): 3.934 3.934 8.536 76.68 76.68 60.00
Last column: magnetic moment on the atom in μB.
Sites, in units of the cell vectors:
Sm (0.248, 0.248, 0.256)  0.12
Cl (0.501, 0.501, 0.498)  0.00
Sm (0.085, 0.085, 0.744)  0.07
Te (0.666, 0.666, 0.001)  0.00

=====

We find version A to be the most stable, with the next structure 49 meV per atom higher.

=====

Version A
Sn3Cl after structural relaxation, computed with PBE.

Output
**Density of states at the Fermi level**: 2.2 states/eV/cell
**Symmetry**: Imm2 (44)

Lattice parameters (Å, degrees): 3.419 4.930 7.479 109.25 103.21 90.00
Sites, in units of the cell vectors:
Sn (0.500, 0.422, 0.000)
Cl (0.000, 0.917, 0.000)
Sn (0.203, 0.616, 0.406)
Sn (0.797, 0.211, 0.594)

=====

Version B
Sn3Cl after structural relaxation, computed with PBE.

Output
**Density of states at the Fermi level**: 1.9 states/eV/cell
**Symmetry**: Pmm2 (25)

Lattice parameters (Å, degrees): 3.290 4.196 8.184 90.00 90.00 90.00
Sites, in units of the cell vectors:
Sn (0.000, 0.000, 0.034)
Sn (0.500, 0.500, 0.806)
Sn (0.500, 0.000, 0.536)
Cl (0.000, 0.500, 0.290)

=====

We find version A to be the most stable, with the next structure 57 meV per atom higher.

=====

Version A
SrSnCl4 after structural relaxation, computed with PBE.

Output
**Density of states at the Fermi level**: 0.0 states/eV/cell
**Symmetry**: P2_1/c (14)

Lattice parameters (Å, degrees): 7.156 7.140 7.105 90.00 91.14 90.00
Sites, in units of the cell vectors:
Cl (0.154, 0.342, 0.839)
Cl (0.170, 0.834, 0.660)
Cl (0.654, 0.158, 0.839)
Sr (0.000, 0.000, 0.000)
Sn (0.500, 0.000, 0.500)
Cl (0.846, 0.658, 0.161)
Cl (0.330, 0.334, 0.340)
Cl (0.670, 0.666, 0.660)
Cl (0.346, 0.842, 0.161)
Sr (0.500, 0.500, 0.000)
Cl (0.830, 0.166, 0.340)
Sn (0.000, 0.500, 0.500)

=====

Version B
SrSnCl4 after structural relaxation, computed with PBE.

Output
**Density of states at the Fermi level**: 0.0 states/eV/cell
**Symmetry**: I-4m2 (119)

Lattice parameters (Å, degrees): 5.681 5.681 7.918 111.02 111.02 90.00
Sites, in units of the cell vectors:
Cl (0.716, 0.716, 0.431)
Cl (0.284, 0.284, 0.569)
Cl (0.040, 0.540, 0.081)
Cl (0.460, 0.960, 0.919)
Sn (0.250, 0.750, 0.500)
Sr (0.500, 0.500, 0.000)

=====

We find version B to be the most stable, with the next structure 7 meV per atom higher.

=====

Version A
Sr2SnCl after structural relaxation, computed with PBE.

Output
**Density of states at the Fermi level**: 1.5 states/eV/cell
**Symmetry**: P4/mmm (123)

Lattice parameters (Å, degrees): 3.714 5.855 5.855 90.00 90.00 90.00
Sites, in units of the cell vectors:
Sr (0.000, 0.500, 0.000)
Cl (0.500, 0.500, 0.500)
Sn (0.500, 0.000, 0.000)
Sr (0.000, 0.000, 0.500)

=====

Version B
Sr2SnCl after structural relaxation, computed with PBE.

Output
**Density of states at the Fermi level**: 5.9 states/eV/cell
**Symmetry**: I-42d (122)

Lattice parameters (Å, degrees): 7.185 7.185 8.721 65.67 65.67 90.00
Last column: magnetic moment on the atom in μB.
Sites, in units of the cell vectors:
Cl (0.250, 0.750, 0.500)  0.00
Sr (0.596, 0.125, 0.250)  0.05
Sr (0.154, 0.625, 0.250)  0.05
Sn (0.750, 0.250, 0.500)  0.30
Sn (0.000, 0.000, 0.000)  0.30
Cl (0.500, 0.500, 0.000)  0.00
Sr (0.875, 0.846, 0.750)  0.04
Sr (0.375, 0.404, 0.750)  0.04

=====

We find version A to be the most stable, with the next structure 231 meV per atom higher.

=====

Version A
Sr2SnCl after structural relaxation, computed with PBE.

Output
**Density of states at the Fermi level**: 1.7 states/eV/cell
**Symmetry**: R-3m (166)

Lattice parameters (Å, degrees): 4.536 4.536 8.316 74.17 74.17 60.00
Sites, in units of the cell vectors:
Sr (0.750, 0.750, 0.751)
Cl (0.000, 0.000, 0.000)
Sn (0.500, 0.500, 0.500)
Sr (0.250, 0.250, 0.249)

=====

Version B
Sr2SnCl after structural relaxation, computed with PBE.

Output
**Density of states at the Fermi level**: 1.6 states/eV/cell
**Symmetry**: R3m (160)

Lattice parameters (Å, degrees): 4.434 4.434 8.800 75.41 75.41 60.00
Sites, in units of the cell vectors:
Sr (0.083, 0.083, 0.752)
Sn (0.668, 0.668, 0.997)
Sr (0.254, 0.254, 0.239)
Cl (0.496, 0.496, 0.513)

=====

Version C
Sr2SnCl after structural relaxation, computed with PBE.

Output
**Density of states at the Fermi level**: 4.1 states/eV/cell
**Symmetry**: Fm-3m (225)

Lattice parameters (Å, degrees): 5.706 5.706 5.706 60.00 60.00 60.00
Last column: magnetic moment on the atom in μB.
Sites, in units of the cell vectors:
Sr (0.250, 0.250, 0.250)  0.04
Sr (0.750, 0.750, 0.750)  0.04
Sn (0.500, 0.500, 0.500)  0.31
Cl (0.000, 0.000, 0.000)  0.05

=====

We find version A to be the most stable, with the next structure 54 meV per atom higher.